An optimized crystal structure of ZnAsC3, computed with GGA-PBE.

Output
* energy of formation from the pure elements: 2938 meV per atom
* space group: No. 221
* D(E_F): 4.058 states/eV/cell
* E: -3.7808 eV/atom

Cell lengths 3.991, 3.991, 3.991 Å; angles 90.00, 90.00, 90.00 degrees
Fractional coordinates of all 5 atoms:
Zn 0.000 0.000 0.000
As 0.500 0.500 0.500
C 0.000 0.000 0.500
C 0.000 0.500 0.000
C 0.500 0.000 0.000



An optimized crystal structure of ZnAs3C, computed with GGA-PBE.

Output
* energy of formation from the pure elements: 1057 meV per atom
* space group: No. 221
* D(E_F): 3.158 states/eV/cell
* E: -3.8326 eV/atom

Cell lengths 4.389, 4.389, 4.389 Å; angles 90.00, 90.00, 90.00 degrees
Fractional coordinates of all 5 atoms:
Zn 0.000 0.000 0.000
As 0.000 0.500 0.500
As 0.500 0.000 0.500
As 0.500 0.500 0.000
C 0.500 0.500 0.500



- What is the energy of formation from the pure elements in the second record?
  1057 meV per atom



- Which value of energy of formation from the pure elements does entry 1 give?
  2938 meV per atom



- What is the E in the first record?
  -3.7808 eV/atom